# ZrCuIr2 | Alexandria via LeMat-Bulk | meta-GGA SCAN | PBEsol geometry
# Energy: -190.7 eV/cell
# Density of states at the Fermi level: 3.936 states/eV/cell
# Total moment: 0.1 μB/cell
data_ZrCuIr2
_cell_length_a 3.9669
_cell_length_b 3.9669
_cell_length_c 3.7599
_cell_angle_alpha 90.00
_cell_angle_beta 90.00
_cell_angle_gamma 90.00
_symmetry_space_group_name_H-M 'P 4/m m m'
_symmetry_Int_Tables_number 123
_symmetry_space_group_name_Hall '-P 4 2'
loop_
_atom_site_label
_atom_site_type_symbol
_atom_site_fract_x
_atom_site_fract_y
_atom_site_fract_z
_atom_site_occupancy
Zr1 Zr 0.0000 0.0000 0.0000 1
Cu1 Cu 0.5000 0.5000 0.0000 1
Ir1 Ir 0.0000 0.5000 0.5000 1